(1)
## HfUSi (GGA-PBE)

Data for a relaxed HfUSi crystal.

Unit cell a=3.5143 b=3.5143 c=5.5520 alpha=108.45 beta=108.45 gamma=90.00
Last column: magnetic moment on the atom in μB.
Fractional coordinates of all 3 atoms:
Si (0.3026, 0.3026, 0.6053)  -0.02
Hf (0.9187, 0.9187, 0.8375)  0.05
U (0.6286, 0.6286, 0.2572)  1.98

## Properties
- symmetry = I4mm, No. 107

(2)
## HfUSi2 (GGA-PBE)

Data for a relaxed HfUSi2 crystal.

Unit cell a=3.8773 b=3.8773 c=6.8485 alpha=73.56 beta=73.56 gamma=60.00
Last column: magnetic moment on the atom in μB.
Fractional coordinates of all 4 atoms:
Si (0.2550, 0.2550, 0.2351)  -0.02
Si (0.7450, 0.7450, 0.7649)  -0.02
Hf (0.0000, 0.0000, 0.0000)  -0.05
U (0.5000, 0.5000, 0.5000)  1.69

## Properties
- symmetry = R-3m, No. 166

(3)
## HfUSi (GGA-PBE)

Data for a relaxed HfUSi crystal.

Unit cell a=4.6504 b=5.6772 c=5.6772 alpha=94.46 beta=65.82 gamma=65.82
Last column: magnetic moment on the atom in μB.
Fractional coordinates of all 6 atoms:
U (0.0000, 0.1465, 0.8535)  0.18
U (0.0000, 0.8535, 0.1465)  0.18
Si (0.5000, 0.3462, 0.6538)  0.00
Si (0.5000, 0.6538, 0.3462)  0.00
Hf (0.2379, 0.2621, 0.2621)  0.00
Hf (0.7621, 0.7379, 0.7379)  0.00

## Properties
- symmetry = Immm, No. 71

(4)
## HfUSi (GGA-PBE)

Data for a relaxed HfUSi crystal.

Unit cell a=2.9828 b=4.7844 c=4.7844 alpha=120.00 beta=90.00 gamma=90.00
Last column: magnetic moment on the atom in μB.
Fractional coordinates of all 3 atoms:
Si (0.4998, 0.3333, 0.6667)  0.00
U (0.0001, 0.0000, 0.0000)  0.56
Hf (0.5001, 0.6667, 0.3333)  0.04

## Properties
- symmetry = P-6m2, No. 187

(5)
## Hf3V2Si4 (GGA-PBE)

Data for a relaxed Hf3V2Si4 crystal.

Unit cell a=3.6664 b=5.8653 c=7.9505 alpha=113.06 beta=90.00 gamma=108.21
Fractional coordinates of all 9 atoms:
Si (0.2948, 0.5896, 0.9371)
Si (0.9285, 0.8569, 0.5895)
Si (0.7052, 0.4104, 0.0629)
Si (0.0715, 0.1431, 0.4105)
V (0.3101, 0.6203, 0.6450)
V (0.6899, 0.3797, 0.3550)
Hf (0.3749, 0.7497, 0.3023)
Hf (0.6251, 0.2503, 0.6977)
Hf (0.0000, 0.0000, 0.0000)

## Properties
- symmetry = C2/m, No. 12

(6)
## HfVSi3 (GGA-PBE)

Data for a relaxed HfVSi3 crystal.

Unit cell a=4.9559 b=4.9559 c=4.9559 alpha=90.00 beta=90.00 gamma=90.00
Last column: magnetic moment on the atom in μB.
Fractional coordinates of all 5 atoms:
Hf (0.0000, 0.0000, 0.0000)  -0.12
Si (0.5000, 0.0000, 0.0000)  -0.02
Si (0.0000, 0.5000, 0.0000)  -0.02
Si (0.0000, 0.0000, 0.5000)  -0.02
V (0.5000, 0.5000, 0.5000)  2.93

## Properties
- symmetry = Pm-3m, No. 221

no.,ΔE_f (raw) (eV/atom),total magnetization (μB/atom),final energy (Ry/atom)
1,-0.030,0.74,-0.655
2,-0.278,0.44,-0.610
3,-0.090,0.06,-0.660
4,0.053,0.22,-0.649
5,-0.577,0.00,-0.612
6,1.103,0.65,-0.438